Record 1
Compound: CeTmZrCd
Source: the Alexandria database
Functional: PBE
Structure: relaxed

- total energy (eV per cell) = -19.6
- magnetic moment (μB/atom) = 0.226
- volume (Å³ per atom) = 25.9
- D(E_F) (states/eV/f.u.) = 7.1

a b c (Å): 5.270 5.270 5.270
angles (deg): 60.00 60.00 60.00
Element x y z (fractional)
Ce 0.000 0.000 0.000
Tm 0.500 0.500 0.500
Zr 0.250 0.250 0.250
Cd 0.750 0.750 0.750

Record 2
Compound: CeUCd
Source: the Alexandria database
Functional: PBE
Structure: relaxed

- total energy (eV per cell) = -35.6
- magnetic moment (μB/atom) = 0.134
- volume (Å³ per atom) = 23.5
- D(E_F) (states/eV/f.u.) = 7.4

a b c (Å): 5.358 5.358 7.443
angles (deg): 97.19 97.19 41.84
Element x y z (fractional)
Ce 0.040 0.040 0.225
Ce 0.960 0.960 0.775
U 0.335 0.335 0.966
U 0.665 0.665 0.034
Cd 0.342 0.342 0.421
Cd 0.658 0.658 0.579

Record 3
Compound: Ce2UCd
Source: the Alexandria database
Functional: PBE
Structure: relaxed

- total energy (eV per cell) = -23.8
- magnetic moment (μB/atom) = 0.309
- volume (Å³ per atom) = 24.1
- relative energy among the computed polymorphs (meV per atom) = 0.0
- D(E_F) (states/eV/f.u.) = 10.4

a b c (Å): 5.528 5.528 3.154
angles (deg): 90.00 90.00 90.00
Element x y z (fractional)
Ce 0.000 0.500 0.000
Ce 0.500 0.000 0.000
U 0.000 0.000 0.500
Cd 0.500 0.500 0.500

Record 4
Compound: Ce2UCd
Source: the Alexandria database
Functional: PBE
Structure: relaxed

- total energy (eV per cell) = -22.3
- magnetic moment (μB/atom) = 0.000
- volume (Å³ per atom) = 29.3
- relative energy among the computed polymorphs (meV per atom) = 367.4
- D(E_F) (states/eV/f.u.) = 5.5

a b c (Å): 9.935 9.935 9.935
angles (deg): 21.67 21.67 21.67
Element x y z (fractional)
Ce 0.114 0.114 0.114
Ce 0.886 0.886 0.886
U 0.500 0.500 0.500
Cd 0.000 0.000 0.000

Record 5
Compound: Ce2UCd
Source: the Alexandria database
Functional: PBE
Structure: relaxed

- total energy (eV per cell) = -23.4
- magnetic moment (μB/atom) = 0.007
- volume (Å³ per atom) = 24.5
- relative energy among the computed polymorphs (meV per atom) = 102.2
- D(E_F) (states/eV/f.u.) = 10.1

a b c (Å): 3.622 3.622 7.475
angles (deg): 90.00 90.00 90.00
Element x y z (fractional)
Ce 0.000 0.000 0.219
Ce 0.000 0.000 0.781
U 0.500 0.500 0.000
Cd 0.500 0.500 0.500

Record 6
Compound: CeVCd
Source: the Alexandria database
Functional: PBE
Structure: relaxed

- total energy (eV per cell) = -29.4
- magnetic moment (μB/atom) = 0.000
- volume (Å³ per atom) = 24.7
- D(E_F) (states/eV/f.u.) = 5.7

a b c (Å): 8.292 8.292 8.292
angles (deg): 32.73 32.73 32.73
Element x y z (fractional)
Ce 0.089 0.089 0.089
Ce 0.911 0.911 0.911
V 0.182 0.182 0.182
V 0.818 0.818 0.818
Cd 0.316 0.316 0.316
Cd 0.684 0.684 0.684